## Li2MgAs2 (PBE)

Data for Li2MgAs2 after structural relaxation.

Cell and atoms, written as extended XYZ:
```
5
Lattice="-2.031 2.031 5.492 2.031 -2.031 5.492 2.031 2.031 -5.492" Properties=species:S:1:pos:R:3 pbc="T T T"
Li 2.031 0.000 2.746
Li 0.000 2.031 2.746
Mg 0.000 0.000 0.000
As 0.000 0.000 4.265
As 0.000 0.000 6.719
```

- Energy of formation from the pure elements: -0.41 eV per atom
- Energy relative to the lowest polymorph listed for this composition: 2.3 kJ per mole of atoms
- DOS(E_F): 1.483 states/eV/f.u.
- Space-group type: I4/mmm, No. 139
- Raw total energy: -16.8 eV/cell
- Total magnetization: 0.00 μB/atom